#P
! CoRhSe3 PBE relaxed; values from VASP
! Total magnetization (μB/f.u.): 0.000
&SYSTEM
  ibrav = 0, nat = 5, ntyp = 3
/
ATOMIC_SPECIES
Co 58.93 Co.upf
Rh 102.91 Rh.upf
Se 78.96 Se.upf
CELL_PARAMETERS angstrom
4.581 0.000 0.000
0.000 4.581 0.000
0.000 0.000 4.581
ATOMIC_POSITIONS crystal
Co 0.000 0.000 0.000
Rh 0.500 0.500 0.500
Se 0.000 0.000 0.500
Se 0.000 0.500 0.000
Se 0.500 0.000 0.000

#Q
! CoRhSe3 PBE relaxed; values from VASP
! Total magnetization (μB/f.u.): 0.000
&SYSTEM
  ibrav = 0, nat = 20, ntyp = 3
/
ATOMIC_SPECIES
Co 58.93 Co.upf
Rh 102.91 Rh.upf
Se 78.96 Se.upf
CELL_PARAMETERS angstrom
5.809 -5.210 0.000
5.809 5.210 0.000
-0.951 0.000 6.522
ATOMIC_POSITIONS crystal
Co 0.168 0.314 0.036
Co 0.314 0.168 0.536
Co 0.686 0.832 0.464
Co 0.832 0.686 0.964
Rh 0.244 0.756 0.250
Rh 0.399 0.601 0.750
Rh 0.601 0.399 0.250
Rh 0.756 0.244 0.750
Se 0.078 0.169 0.726
Se 0.132 0.601 0.923
Se 0.169 0.078 0.226
Se 0.310 0.451 0.386
Se 0.399 0.868 0.577
Se 0.451 0.310 0.886
Se 0.549 0.690 0.114
Se 0.601 0.132 0.423
Se 0.690 0.549 0.614
Se 0.831 0.922 0.774
Se 0.868 0.399 0.077
Se 0.922 0.831 0.274

Relative energies, meV per atom: #P 813; #Q 0.

#P
! CoSi2Rh2 PBE relaxed; values from VASP
! Total magnetization (μB/f.u.): 1.574
&SYSTEM
  ibrav = 0, nat = 10, ntyp = 3
/
ATOMIC_SPECIES
Co 58.93 Co.upf
Si 28.09 Si.upf
Rh 102.91 Rh.upf
CELL_PARAMETERS angstrom
7.003 0.000 0.000
0.000 7.003 0.000
0.000 0.000 2.730
ATOMIC_POSITIONS crystal
Co 0.000 0.000 0.000
Co 0.500 0.500 0.000
Si 0.157 0.343 0.500
Si 0.343 0.843 0.500
Si 0.657 0.157 0.500
Si 0.843 0.657 0.500
Rh 0.142 0.642 0.000
Rh 0.358 0.142 0.000
Rh 0.642 0.858 0.000
Rh 0.858 0.358 0.000

#Q
! CoSi2Rh2 PBE relaxed; values from VASP
! Total magnetization (μB/f.u.): 1.528
&SYSTEM
  ibrav = 0, nat = 10, ntyp = 3
/
ATOMIC_SPECIES
Co 58.93 Co.upf
Si 28.09 Si.upf
Rh 102.91 Rh.upf
CELL_PARAMETERS angstrom
6.895 0.000 0.000
0.000 6.895 0.000
0.000 0.000 2.766
ATOMIC_POSITIONS crystal
Co 0.000 0.000 0.000
Co 0.500 0.500 0.000
Si 0.152 0.348 0.000
Si 0.348 0.848 0.000
Si 0.652 0.152 0.000
Si 0.848 0.652 0.000
Rh 0.147 0.647 0.500
Rh 0.353 0.147 0.500
Rh 0.647 0.853 0.500
Rh 0.853 0.353 0.500

Relative energies, meV per atom: #P 116; #Q 0.

#P
! Co3SiRh PBE relaxed; values from VASP
! Total magnetization (μB/f.u.): 4.766
&SYSTEM
  ibrav = 0, nat = 5, ntyp = 3
/
ATOMIC_SPECIES
Co 58.93 Co.upf
Si 28.09 Si.upf
Rh 102.91 Rh.upf
CELL_PARAMETERS angstrom
4.137 0.000 0.000
0.000 4.137 0.000
0.000 0.000 4.137
ATOMIC_POSITIONS crystal
Co 0.000 0.000 0.500
Co 0.000 0.500 0.000
Co 0.500 0.000 0.000
Si 0.000 0.000 0.000
Rh 0.500 0.500 0.500

#Q
! Co3SiRh PBE relaxed; values from VASP
! Total magnetization (μB/f.u.): 6.725
&SYSTEM
  ibrav = 0, nat = 5, ntyp = 3
/
ATOMIC_SPECIES
Co 58.93 Co.upf
Si 28.09 Si.upf
Rh 102.91 Rh.upf
CELL_PARAMETERS angstrom
4.504 0.000 0.000
0.000 4.504 0.000
0.000 0.000 4.504
ATOMIC_POSITIONS crystal
Co 0.000 0.000 0.500
Co 0.000 0.500 0.000
Co 0.500 0.000 0.000
Si 0.500 0.500 0.500
Rh 0.000 0.000 0.000

Relative energies, meV per atom: #P 0; #Q 741.

#P
! TiCoSiRh PBE relaxed; values from VASP
! Total magnetization (μB/f.u.): 1.827
&SYSTEM
  ibrav = 0, nat = 16, ntyp = 4
/
ATOMIC_SPECIES
Ti 47.87 Ti.upf
Co 58.93 Co.upf
Si 28.09 Si.upf
Rh 102.91 Rh.upf
CELL_PARAMETERS angstrom
5.934 0.000 0.000
0.000 5.934 0.000
0.000 0.000 5.934
ATOMIC_POSITIONS crystal
Ti 0.000 0.000 0.000
Ti 0.000 0.500 0.500
Ti 0.500 0.000 0.500
Ti 0.500 0.500 0.000
Co 0.250 0.250 0.250
Co 0.250 0.750 0.750
Co 0.750 0.250 0.750
Co 0.750 0.750 0.250
Si 0.000 0.000 0.500
Si 0.000 0.500 0.000
Si 0.500 0.000 0.000
Si 0.500 0.500 0.500
Rh 0.250 0.250 0.750
Rh 0.250 0.750 0.250
Rh 0.750 0.250 0.250
Rh 0.750 0.750 0.750

#Q
! TiCoSiRh PBE relaxed; values from VASP
! Total magnetization (μB/f.u.): 0.000
&SYSTEM
  ibrav = 0, nat = 8, ntyp = 4
/
ATOMIC_SPECIES
Ti 47.87 Ti.upf
Co 58.93 Co.upf
Si 28.09 Si.upf
Rh 102.91 Rh.upf
CELL_PARAMETERS angstrom
3.875 0.000 0.000
0.000 3.875 0.000
0.000 0.000 6.871
ATOMIC_POSITIONS crystal
Ti 0.000 0.000 0.000
Ti 0.500 0.500 0.500
Co 0.000 0.500 0.250
Co 0.500 0.000 0.750
Si 0.000 0.000 0.500
Si 0.500 0.500 0.000
Rh 0.000 0.500 0.750
Rh 0.500 0.000 0.250

Relative energies, meV per atom: #P 31; #Q 0.

#P
! Sm6Co2Rh PBE relaxed; values from VASP
! Total magnetization (μB/f.u.): 0.000
&SYSTEM
  ibrav = 0, nat = 18, ntyp = 3
/
ATOMIC_SPECIES
Sm 150.36 Sm.upf
Co 58.93 Co.upf
Rh 102.91 Rh.upf
CELL_PARAMETERS angstrom
-4.760 4.821 4.864
4.760 -4.821 4.864
4.760 4.821 -4.864
ATOMIC_POSITIONS crystal
Sm 0.009 0.826 0.183
Sm 0.253 0.569 0.316
Sm 0.253 0.936 0.684
Sm 0.268 0.323 0.591
Sm 0.268 0.677 0.945
Sm 0.357 0.174 0.183
Sm 0.643 0.826 0.817
Sm 0.732 0.323 0.055
Sm 0.732 0.677 0.409
Sm 0.747 0.064 0.316
Sm 0.747 0.431 0.684
Sm 0.991 0.174 0.817
Co 0.000 0.170 0.170
Co 0.000 0.830 0.830
Co 0.387 0.387 0.000
Co 0.613 0.613 0.000
Rh 0.000 0.500 0.500
Rh 0.500 0.000 0.500

#Q
! Sm6Co2Rh PBE relaxed; values from VASP
! Total magnetization (μB/f.u.): 0.000
&SYSTEM
  ibrav = 0, nat = 18, ntyp = 3
/
ATOMIC_SPECIES
Sm 150.36 Sm.upf
Co 58.93 Co.upf
Rh 102.91 Rh.upf
CELL_PARAMETERS angstrom
6.643 0.000 0.000
0.000 7.157 0.000
-6.048 0.000 10.137
ATOMIC_POSITIONS crystal
Sm 0.082 0.066 0.252
Sm 0.082 0.434 0.752
Sm 0.268 0.673 0.085
Sm 0.268 0.827 0.585
Sm 0.411 0.181 0.071
Sm 0.411 0.319 0.571
Sm 0.589 0.681 0.429
Sm 0.589 0.819 0.929
Sm 0.732 0.173 0.415
Sm 0.732 0.327 0.915
Sm 0.918 0.566 0.248
Sm 0.918 0.934 0.748
Co 0.317 0.108 0.774
Co 0.317 0.392 0.274
Co 0.683 0.608 0.726
Co 0.683 0.892 0.226
Rh 0.000 0.000 0.000
Rh 0.000 0.500 0.500

Relative energies, meV per atom: #P 0; #Q 52.

#P
! Sm2CoRh PBE relaxed; values from VASP
! Total magnetization (μB/f.u.): 0.625
&SYSTEM
  ibrav = 0, nat = 16, ntyp = 3
/
ATOMIC_SPECIES
Sm 150.36 Sm.upf
Co 58.93 Co.upf
Rh 102.91 Rh.upf
CELL_PARAMETERS angstrom
6.934 0.000 0.000
0.000 6.934 0.000
0.000 0.000 6.934
ATOMIC_POSITIONS crystal
Sm 0.250 0.250 0.250
Sm 0.250 0.250 0.750
Sm 0.250 0.750 0.250
Sm 0.250 0.750 0.750
Sm 0.750 0.250 0.250
Sm 0.750 0.250 0.750
Sm 0.750 0.750 0.250
Sm 0.750 0.750 0.750
Co 0.000 0.000 0.000
Co 0.000 0.500 0.500
Co 0.500 0.000 0.500
Co 0.500 0.500 0.000
Rh 0.000 0.000 0.500
Rh 0.000 0.500 0.000
Rh 0.500 0.000 0.000
Rh 0.500 0.500 0.500

#Q
! Sm2CoRh PBE relaxed; values from VASP
! Total magnetization (μB/f.u.): 0.100
&SYSTEM
  ibrav = 0, nat = 8, ntyp = 3
/
ATOMIC_SPECIES
Sm 150.36 Sm.upf
Co 58.93 Co.upf
Rh 102.91 Rh.upf
CELL_PARAMETERS angstrom
5.761 0.000 0.000
0.000 4.018 0.000
-2.772 0.000 7.490
ATOMIC_POSITIONS crystal
Sm 0.212 0.250 0.432
Sm 0.213 0.250 0.924
Sm 0.787 0.750 0.076
Sm 0.788 0.750 0.568
Co 0.355 0.750 0.714
Co 0.645 0.250 0.286
Rh 0.355 0.750 0.214
Rh 0.645 0.250 0.786

Relative energies, meV per atom: #P 42; #Q 0.

#P
! Co2SnRh2 PBE relaxed; values from VASP
! Total magnetization (μB/f.u.): 5.149
&SYSTEM
  ibrav = 0, nat = 10, ntyp = 3
/
ATOMIC_SPECIES
Co 58.93 Co.upf
Sn 118.71 Sn.upf
Rh 102.91 Rh.upf
CELL_PARAMETERS angstrom
3.873 0.000 0.000
0.000 3.873 0.000
0.000 0.000 10.461
ATOMIC_POSITIONS crystal
Co 0.000 0.000 0.103
Co 0.000 0.000 0.897
Co 0.500 0.500 0.397
Co 0.500 0.500 0.603
Sn 0.000 0.000 0.500
Sn 0.500 0.500 0.000
Rh 0.000 0.500 0.250
Rh 0.000 0.500 0.750
Rh 0.500 0.000 0.250
Rh 0.500 0.000 0.750

#Q
! Co2SnRh2 PBE relaxed; values from VASP
! Total magnetization (μB/f.u.): 2.955
&SYSTEM
  ibrav = 0, nat = 10, ntyp = 3
/
ATOMIC_SPECIES
Co 58.93 Co.upf
Sn 118.71 Sn.upf
Rh 102.91 Rh.upf
CELL_PARAMETERS angstrom
6.390 0.000 0.000
0.000 6.390 0.000
0.000 0.000 3.585
ATOMIC_POSITIONS crystal
Co 0.127 0.373 0.000
Co 0.373 0.873 0.000
Co 0.627 0.127 0.000
Co 0.873 0.627 0.000
Sn 0.000 0.000 0.000
Sn 0.500 0.500 0.000
Rh 0.157 0.657 0.500
Rh 0.343 0.157 0.500
Rh 0.657 0.843 0.500
Rh 0.843 0.343 0.500

Relative energies, meV per atom: #P 101; #Q 0.

#P
! CoSn3Rh PBE relaxed; values from VASP
! Total magnetization (μB/f.u.): 0.000
&SYSTEM
  ibrav = 0, nat = 5, ntyp = 3
/
ATOMIC_SPECIES
Co 58.93 Co.upf
Sn 118.71 Sn.upf
Rh 102.91 Rh.upf
CELL_PARAMETERS angstrom
4.787 0.000 0.000
0.000 4.787 0.000
0.000 0.000 4.787
ATOMIC_POSITIONS crystal
Co 0.000 0.000 0.000
Sn 0.000 0.000 0.500
Sn 0.000 0.500 0.000
Sn 0.500 0.000 0.000
Rh 0.500 0.500 0.500

#Q
! CoSn3Rh PBE relaxed; values from VASP
! Total magnetization (μB/f.u.): 0.088
&SYSTEM
  ibrav = 0, nat = 20, ntyp = 3
/
ATOMIC_SPECIES
Co 58.93 Co.upf
Sn 118.71 Sn.upf
Rh 102.91 Rh.upf
CELL_PARAMETERS angstrom
5.827 -5.963 0.000
5.827 5.963 0.000
-1.247 0.000 5.646
ATOMIC_POSITIONS crystal
Co 0.002 0.998 0.750
Co 0.246 0.754 0.250
Co 0.754 0.246 0.750
Co 0.998 0.002 0.250
Sn 0.011 0.700 0.912
Sn 0.029 0.266 0.583
Sn 0.266 0.029 0.083
Sn 0.300 0.989 0.588
Sn 0.303 0.512 0.468
Sn 0.488 0.697 0.032
Sn 0.512 0.303 0.968
Sn 0.697 0.488 0.532
Sn 0.700 0.011 0.412
Sn 0.734 0.971 0.917
Sn 0.971 0.734 0.417
Sn 0.989 0.300 0.088
Rh 0.234 0.467 0.919
Rh 0.467 0.234 0.419
Rh 0.533 0.766 0.581
Rh 0.766 0.533 0.081

Relative energies, meV per atom: #P 449; #Q 0.

#P
! SrCoRh PBE relaxed; values from VASP
! Total magnetization (μB/f.u.): 1.974
&SYSTEM
  ibrav = 0, nat = 3, ntyp = 3
/
ATOMIC_SPECIES
Sr 87.62 Sr.upf
Co 58.93 Co.upf
Rh 102.91 Rh.upf
CELL_PARAMETERS angstrom
4.068 0.000 0.000
-2.034 3.523 0.000
0.000 0.000 4.682
ATOMIC_POSITIONS crystal
Sr 0.000 0.000 0.000
Co 0.667 0.333 0.500
Rh 0.333 0.667 0.500

#Q
! SrCoRh PBE relaxed; values from VASP
! Total magnetization (μB/f.u.): 2.401
&SYSTEM
  ibrav = 0, nat = 12, ntyp = 3
/
ATOMIC_SPECIES
Sr 87.62 Sr.upf
Co 58.93 Co.upf
Rh 102.91 Rh.upf
CELL_PARAMETERS angstrom
6.479 0.000 0.000
0.000 6.479 0.000
0.000 0.000 6.479
ATOMIC_POSITIONS crystal
Sr 0.000 0.000 0.000
Sr 0.000 0.500 0.500
Sr 0.500 0.000 0.500
Sr 0.500 0.500 0.000
Co 0.000 0.000 0.500
Co 0.000 0.500 0.000
Co 0.500 0.000 0.000
Co 0.500 0.500 0.500
Rh 0.250 0.250 0.750
Rh 0.250 0.750 0.250
Rh 0.750 0.250 0.250
Rh 0.750 0.750 0.750

#R
! SrCoRh PBE relaxed; values from VASP
! Total magnetization (μB/f.u.): 1.799
&SYSTEM
  ibrav = 0, nat = 12, ntyp = 3
/
ATOMIC_SPECIES
Sr 87.62 Sr.upf
Co 58.93 Co.upf
Rh 102.91 Rh.upf
CELL_PARAMETERS angstrom
6.506 0.000 0.000
0.000 6.506 0.000
0.000 0.000 6.506
ATOMIC_POSITIONS crystal
Sr 0.000 0.000 0.000
Sr 0.000 0.500 0.500
Sr 0.500 0.000 0.500
Sr 0.500 0.500 0.000
Co 0.250 0.250 0.250
Co 0.250 0.750 0.750
Co 0.750 0.250 0.750
Co 0.750 0.750 0.250
Rh 0.250 0.250 0.750
Rh 0.250 0.750 0.250
Rh 0.750 0.250 0.250
Rh 0.750 0.750 0.750

Relative energies, meV per atom: #P 0; #Q 533; #R 1229.

#P
! Sr2CoRh PBE relaxed; values from VASP
! Total magnetization (μB/f.u.): 1.861
&SYSTEM
  ibrav = 0, nat = 4, ntyp = 3
/
ATOMIC_SPECIES
Sr 87.62 Sr.upf
Co 58.93 Co.upf
Rh 102.91 Rh.upf
CELL_PARAMETERS angstrom
3.507 0.000 0.000
0.000 3.507 0.000
0.000 0.000 8.712
ATOMIC_POSITIONS crystal
Sr 0.000 0.000 0.000
Sr 0.500 0.500 0.421
Co 0.000 0.000 0.675
Rh 0.500 0.500 0.753

#Q
! Sr2CoRh PBE relaxed; values from VASP
! Total magnetization (μB/f.u.): 1.306
&SYSTEM
  ibrav = 0, nat = 12, ntyp = 3
/
ATOMIC_SPECIES
Sr 87.62 Sr.upf
Co 58.93 Co.upf
Rh 102.91 Rh.upf
CELL_PARAMETERS angstrom
3.749 0.000 0.000
-1.874 3.247 0.000
0.000 0.000 25.800
ATOMIC_POSITIONS crystal
Sr 0.000 0.000 0.247
Sr 0.000 0.000 0.753
Sr 0.333 0.667 0.419
Sr 0.333 0.667 0.914
Sr 0.667 0.333 0.086
Sr 0.667 0.333 0.581
Co 0.000 0.000 0.000
Co 0.333 0.667 0.667
Co 0.667 0.333 0.333
Rh 0.000 0.000 0.500
Rh 0.333 0.667 0.167
Rh 0.667 0.333 0.833

Relative energies, meV per atom: #P 0; #Q 327.

#P
! Sr2CoRh PBE relaxed; values from VASP
! Total magnetization (μB/f.u.): 1.965
&SYSTEM
  ibrav = 0, nat = 16, ntyp = 3
/
ATOMIC_SPECIES
Sr 87.62 Sr.upf
Co 58.93 Co.upf
Rh 102.91 Rh.upf
CELL_PARAMETERS angstrom
7.357 0.000 0.000
0.000 7.357 0.000
0.000 0.000 7.357
ATOMIC_POSITIONS crystal
Sr 0.250 0.250 0.250
Sr 0.250 0.250 0.750
Sr 0.250 0.750 0.250
Sr 0.250 0.750 0.750
Sr 0.750 0.250 0.250
Sr 0.750 0.250 0.750
Sr 0.750 0.750 0.250
Sr 0.750 0.750 0.750
Co 0.000 0.000 0.000
Co 0.000 0.500 0.500
Co 0.500 0.000 0.500
Co 0.500 0.500 0.000
Rh 0.000 0.000 0.500
Rh 0.000 0.500 0.000
Rh 0.500 0.000 0.000
Rh 0.500 0.500 0.500

#Q
! Sr2CoRh PBE relaxed; values from VASP
! Total magnetization (μB/f.u.): 1.246
&SYSTEM
  ibrav = 0, nat = 8, ntyp = 3
/
ATOMIC_SPECIES
Sr 87.62 Sr.upf
Co 58.93 Co.upf
Rh 102.91 Rh.upf
CELL_PARAMETERS angstrom
4.275 0.000 0.000
0.000 4.661 0.000
0.000 0.000 10.850
ATOMIC_POSITIONS crystal
Sr 0.000 0.000 0.000
Sr 0.000 0.500 0.500
Sr 0.500 0.000 0.285
Sr 0.500 0.500 0.785
Co 0.000 0.000 0.686
Co 0.000 0.500 0.186
Rh 0.500 0.000 0.598
Rh 0.500 0.500 0.098

#R
! Sr2CoRh PBE relaxed; values from VASP
! Total magnetization (μB/f.u.): 1.595
&SYSTEM
  ibrav = 0, nat = 8, ntyp = 3
/
ATOMIC_SPECIES
Sr 87.62 Sr.upf
Co 58.93 Co.upf
Rh 102.91 Rh.upf
CELL_PARAMETERS angstrom
7.367 0.000 0.000
0.000 7.391 0.000
0.000 0.000 3.589
ATOMIC_POSITIONS crystal
Sr 0.250 0.250 0.000
Sr 0.250 0.750 0.000
Sr 0.750 0.250 0.000
Sr 0.750 0.750 0.000
Co 0.000 0.000 0.500
Co 0.500 0.500 0.500
Rh 0.000 0.500 0.500
Rh 0.500 0.000 0.500

Relative energies, meV per atom: #P 342; #Q 0; #R 351.